The following is a DFT calculation (GGA-PBE) of a geometry-optimized PmYBiAs structure.

```
PmYBiAs
1.0
4.321 0.000 0.000
2.161 3.742 0.000
2.161 1.247 7.209
Bi As Y Pm
1 1 1 1
direct
0.752 0.752 0.744
0.248 0.248 0.256
0.508 0.508 0.477
0.992 0.992 0.023
```

Computed properties:
* ΔH_f (0 K): -1.206 eV/atom
* VASP energy: -6.14 eV per atom
* crystal system: trigonal
* mass density: 7.38 Mg/m³
* M_tot: 0.00 μB per formula unit
* V: 116.6 Å³ per cell

The following is a DFT calculation (GGA-PBE) of a geometry-optimized Pr2BiAs structure.

```
Pr2BiAs
1.0
4.446 0.000 0.000
2.223 3.850 0.000
2.223 1.283 7.388
Pr Bi As
2 1 1
direct
0.257 0.257 0.228
0.743 0.743 0.772
0.500 0.500 0.500
0.000 0.000 0.000
```

Computed properties:
* ΔH_f (0 K): -1.210 eV/atom
* VASP energy: -5.73 eV per atom
* crystal system: trigonal
* mass density: 7.43 Mg/m³
* M_tot: 0.00 μB per formula unit
* V: 126.5 Å³ per cell

The following is a DFT calculation (GGA-PBE) of a geometry-optimized Pr6BiAs5 structure.

```
Pr6BiAs5
1.0
-5.403 2.913 4.404
-5.767 -4.873 0.485
-0.104 -5.204 5.483
As Pr Bi
5 6 1
direct
0.500 0.836 0.328
0.500 0.164 0.672
0.000 0.333 0.334
0.000 0.667 0.666
0.500 0.500 0.000
0.743 0.086 0.346
0.744 0.739 0.000
0.257 0.568 0.346
0.257 0.914 0.654
0.743 0.432 0.654
0.256 0.261 0.000
0.000 0.000 0.000
```

Computed properties:
* ΔH_f (0 K): -1.390 eV/atom
* VASP energy: -6.04 eV per atom
* crystal system: monoclinic
* mass density: 6.73 Mg/m³
* M_tot: 0.00 μB per formula unit
* V: 352.6 Å³ per cell

The following is a DFT calculation (GGA-PBE) of a geometry-optimized Pr4Bi3As structure.

```
Pr4Bi3As
1.0
-4.501 0.619 -0.187
-0.718 -3.027 7.267
1.054 7.817 0.518
Bi Pr As
3 4 1
direct
0.500 0.500 0.500
0.000 0.000 0.500
0.000 0.500 0.000
0.000 0.235 0.235
0.000 0.765 0.765
0.500 0.242 0.758
0.500 0.758 0.242
0.500 0.000 0.000
```

Computed properties:
* ΔH_f (0 K): -1.067 eV/atom
* VASP energy: -5.49 eV per atom
* crystal system: orthorhombic
* mass density: 7.84 Mg/m³
* M_tot: 0.00 μB per formula unit
* V: 268.2 Å³ per cell